Compound: NdRu4O12
Source: Alexandria via LeMat-Bulk
Functional: PBE
Structure: optimized geometry

```
17
Lattice="-3.751 3.751 3.751 3.751 -3.751 3.751 3.751 3.751 -3.751" Properties=species:S:1:pos:R:3 pbc="T T T"
Nd 0.000 0.000 0.000
Ru 1.875 1.875 -1.875
Ru 1.875 -1.875 1.875
Ru -1.875 1.875 1.875
Ru 1.875 1.875 1.875
O 3.751 -1.627 2.291
O 2.124 1.460 0.000
O 5.378 1.460 0.000
O 2.291 3.751 -1.627
O 1.460 0.000 2.124
O 0.000 2.124 1.460
O 3.751 1.627 2.291
O 2.291 3.751 1.627
O 1.460 0.000 5.378
O -1.627 2.291 3.751
O 1.627 2.291 3.751
O 0.000 5.378 1.460
```

Output
**ΔE_f (raw)**: -1.10 eV/atom
**Size of the total moment**: 2.77 μB/cell

***

Compound: Nd2RuO6
Source: Alexandria via LeMat-Bulk
Functional: PBE
Structure: optimized geometry

```
18
Lattice="5.487 0.000 0.000 0.000 6.219 0.000 -4.716 0.000 7.467" Properties=species:S:1:pos:R:3 pbc="T T T"
Nd -0.014 0.605 1.864
Nd -2.372 2.504 5.598
Nd 3.143 3.715 1.869
Nd 0.786 5.613 5.603
Ru 2.743 0.000 0.000
Ru 0.386 3.109 3.733
O -3.661 0.946 7.073
O -1.303 2.163 3.339
O -2.753 4.514 6.966
O -0.396 4.814 3.233
O -1.412 0.300 5.661
O 0.946 2.809 1.927
O -0.175 3.410 5.540
O 2.183 5.919 1.806
O 1.167 1.405 4.234
O 3.524 1.705 0.500
O 2.074 4.055 4.127
O 4.432 5.273 0.394
```

Output
**Energy above the most stable polymorph in this dataset**: 0.00 eV per formula unit
**ΔE_f (raw)**: -2.24 eV/atom
**Size of the total moment**: 4.01 μB/cell

***

Compound: Nd3RuO6
Source: Alexandria via LeMat-Bulk
Functional: PBE
Structure: optimized geometry

```
20
Lattice="5.063 2.923 3.319 -5.063 2.923 3.319 0.000 -5.847 3.319" Properties=species:S:1:pos:R:3 pbc="T T T"
Nd -2.601 -2.502 4.967
Nd -3.467 1.002 4.991
Nd 0.866 -3.504 4.991
Nd -0.866 3.504 4.967
Nd 3.467 -1.002 4.967
Nd 2.601 2.502 4.991
Ru 0.000 0.000 0.000
Ru 0.000 0.000 4.979
O -1.215 -4.325 4.242
O -4.353 -1.111 5.715
O -1.766 -0.370 3.951
O -3.139 3.215 4.242
O 1.203 -1.345 3.951
O -0.563 -1.714 6.006
O 0.563 1.714 3.951
O -1.203 1.345 6.006
O 3.139 -3.215 5.715
O 1.766 0.370 6.006
O 4.353 1.111 4.242
O 1.215 4.326 5.715
```

Output
**ΔE_f (raw)**: -2.69 eV/atom
**Size of the total moment**: 2.00 μB/cell

***

Compound: Nd4Ru2O
Source: Alexandria via LeMat-Bulk
Functional: PBE
Structure: optimized geometry

```
7
Lattice="-2.383 2.383 7.297 2.383 -2.383 7.297 2.383 2.383 -7.297" Properties=species:S:1:pos:R:3 pbc="T T T"
Nd 2.383 0.000 0.000
Nd 0.000 0.000 2.760
Nd 0.000 2.383 0.000
Nd 0.000 0.000 11.833
Ru 0.000 0.000 5.439
Ru 0.000 0.000 9.154
O 0.000 0.000 0.000
```

Output
**ΔE_f (raw)**: -0.78 eV/atom
**Size of the total moment**: 0.00 μB/cell

***

Compound: Nd3RuO7
Source: Alexandria via LeMat-Bulk
Functional: PBE
Structure: optimized geometry

```
22
Lattice="5.487 -3.738 0.000 5.487 3.738 0.000 0.000 0.000 7.609" Properties=species:S:1:pos:R:3 pbc="T T T"
Nd 0.000 0.000 0.000
Nd 0.000 0.000 3.805
Nd 3.062 1.446 5.707
Nd 3.062 -1.446 1.902
Nd 7.912 1.446 5.707
Nd 7.912 -1.446 1.902
Ru 5.487 0.000 0.000
Ru 5.487 0.000 3.805
O 1.445 0.200 1.902
O 1.445 -0.200 5.707
O 4.108 1.389 0.300
O 4.108 1.389 3.505
O 5.487 0.617 5.707
O 6.867 1.389 0.300
O 6.867 1.389 3.505
O 4.108 -1.389 4.104
O 4.108 -1.389 7.309
O 5.487 -0.617 1.902
O 6.867 -1.389 4.104
O 6.867 -1.389 7.309
O 9.529 0.200 1.902
O 9.529 -0.200 5.707
```

Output
**ΔE_f (raw)**: -2.63 eV/atom
**Size of the total moment**: 6.02 μB/cell

***

Compound: Nd4Ru6O19
Source: Alexandria via LeMat-Bulk
Functional: PBE
Structure: optimized geometry

```
29
Lattice="-4.486 4.486 4.486 4.486 -4.486 4.486 4.486 4.486 -4.486" Properties=species:S:1:pos:R:3 pbc="T T T"
Nd 3.052 3.052 -3.052
Nd 3.052 -3.052 3.052
Nd 1.434 1.434 1.434
Nd -3.052 3.052 3.052
Ru 4.486 0.000 1.232
Ru 4.486 3.254 0.000
Ru 1.232 4.486 0.000
Ru 3.254 0.000 4.486
Ru 0.000 1.232 4.486
Ru 0.000 4.486 3.254
O 0.000 0.000 0.000
O 2.896 0.000 0.000
O 6.076 0.000 0.000
O 4.792 1.949 -1.448
O 3.038 -0.306 2.537
O 2.537 3.038 -0.306
O 5.934 0.306 2.537
O 0.000 2.896 0.000
O 0.000 0.000 2.896
O 1.949 -1.448 4.792
O 4.180 1.949 1.448
O -0.306 2.537 3.038
O 1.949 1.448 4.180
O 0.000 6.076 0.000
O 0.000 0.000 6.076
O 1.448 4.180 1.949
O 2.537 5.934 0.306
O -1.448 4.792 1.949
O 0.306 2.537 5.934
```

Output
**ΔE_f (raw)**: -1.78 eV/atom
**Size of the total moment**: 6.41 μB/cell

***

Compound: Nd6Ru2O
Source: Alexandria via LeMat-Bulk
Functional: PBE
Structure: optimized geometry

```
18
Lattice="6.591 0.000 0.000 0.000 7.320 0.000 -6.430 0.000 9.752" Properties=species:S:1:pos:R:3 pbc="T T T"
Nd -0.812 0.339 2.375
Nd -4.027 3.321 7.251
Nd 1.144 4.995 0.648
Nd -2.071 5.986 5.524
Nd 2.090 1.233 0.611
Nd -1.125 2.427 5.486
Nd 1.287 4.893 4.265
Nd -1.929 6.087 9.141
Nd 2.233 1.334 4.228
Nd -0.983 2.326 9.104
Nd 4.188 4.000 2.501
Nd 0.973 6.981 7.377
Ru -2.918 0.753 7.373
Ru 0.297 2.907 2.497
Ru -0.136 4.413 7.254
Ru 3.079 6.567 2.379
O 0.000 0.000 0.000
O -3.215 3.660 4.876
```

Output
**ΔE_f (raw)**: -0.76 eV/atom
**Size of the total moment**: 0.00 μB/cell

***

Compound: NdRuO
Source: Alexandria via LeMat-Bulk
Functional: PBE
Structure: optimized geometry

```
6
Lattice="3.435 -1.988 0.000 3.435 1.988 0.000 -2.299 0.000 8.316" Properties=species:S:1:pos:R:3 pbc="T T T"
Nd -0.004 0.000 2.641
Nd 4.574 0.000 5.675
Ru 2.289 0.000 0.258
Ru 2.282 0.000 8.058
O -0.004 0.000 5.050
O 4.574 0.000 3.266
```

Output
**ΔE_f (raw)**: -1.66 eV/atom
**Size of the total moment**: 0.00 μB/cell

***

Compound: Nd4RuO7
Source: Alexandria via LeMat-Bulk
Functional: PBE
Structure: optimized geometry

```
12
Lattice="6.654 -1.973 0.000 6.654 1.973 0.000 -6.369 0.000 6.921" Properties=species:S:1:pos:R:3 pbc="T T T"
Nd -1.362 0.000 2.751
Nd 2.299 0.000 1.116
Nd 4.640 0.000 5.805
Nd 8.301 0.000 4.170
Ru 6.654 0.000 0.000
O 0.000 0.000 0.000
O -2.702 0.000 4.769
O 1.115 0.000 3.086
O 4.729 0.000 0.677
O 2.210 0.000 6.245
O 5.824 0.000 3.835
O 9.641 0.000 2.153
```

Output
**ΔE_f (raw)**: -2.81 eV/atom
**Size of the total moment**: 0.91 μB/cell

***

Compound: Nd12Ru3O5
Source: Alexandria via LeMat-Bulk
Functional: PBE
Structure: optimized geometry

```
80
Lattice="-7.850 7.850 7.850 7.850 -7.850 7.850 7.850 7.850 -7.850" Properties=species:S:1:pos:R:3 pbc="T T T"
Nd 2.376 -0.498 0.887
Nd 9.399 4.812 -4.423
Nd 10.226 0.498 0.887
Nd 9.399 -3.038 4.423
Nd 7.352 -0.887 2.376
Nd 12.273 -1.549 3.038
Nd 0.887 2.376 -0.498
Nd 10.888 3.427 -1.549
Nd 4.812 4.423 -1.549
Nd 6.963 2.376 0.498
Nd -0.498 0.887 2.376
Nd 4.423 -1.549 4.812
Nd 7.352 6.963 -2.376
Nd 4.423 1.549 3.038
Nd 4.812 -4.423 9.399
Nd 6.963 -2.376 7.352
Nd 3.038 4.423 1.549
Nd 8.737 5.474 0.498
Nd 4.423 9.399 -3.038
Nd 7.352 0.887 5.474
Nd 2.376 7.352 -0.887
Nd 9.399 3.038 3.427
Nd 1.549 3.038 4.423
Nd 2.376 0.498 6.963
Nd 5.474 7.352 0.887
Nd 6.301 4.812 3.427
Nd -1.549 4.812 4.423
Nd 5.474 0.498 8.737
Nd 0.498 6.963 2.376
Nd 3.427 -1.549 10.888
Nd -0.887 2.376 7.352
Nd 4.812 3.427 6.301
Nd 0.887 10.226 0.498
Nd 3.038 12.273 -1.549
Nd 3.427 6.301 4.812
Nd 0.498 0.887 10.226
Nd 3.427 9.399 3.038
Nd 8.348 6.963 5.474
Nd 0.887 5.474 7.352
Nd 3.038 3.427 9.399
Nd -3.038 4.423 9.399
Nd 6.963 5.474 8.348
Nd -4.423 9.399 4.812
Nd 0.498 8.737 5.474
Nd -1.549 10.888 3.427
Nd -2.376 7.352 6.963
Nd -1.549 3.038 12.273
Nd 5.474 8.348 6.963
Ru 3.925 1.962 0.000
Ru 7.850 3.925 -1.962
Ru 1.962 0.000 3.925
Ru 9.812 0.000 3.925
Ru 0.000 3.925 1.962
Ru 3.925 -1.962 7.850
Ru 3.925 9.812 0.000
Ru 7.850 3.925 5.887
Ru -1.962 7.850 3.925
Ru 5.887 7.850 3.925
Ru 0.000 3.925 9.812
Ru 3.925 5.887 7.850
O 0.000 0.000 0.000
O 3.925 3.925 -3.925
O 3.925 -3.925 3.925
O 7.850 0.000 0.000
O 11.775 1.962 0.000
O 7.850 -3.925 5.887
O 5.887 7.850 -3.925
O 5.887 0.000 3.925
O 3.925 5.887 0.000
O 7.850 3.925 1.962
O -3.925 3.925 3.925
O 0.000 7.850 0.000
O 0.000 0.000 7.850
O 3.925 3.925 3.925
O 0.000 3.925 5.887
O 3.925 1.962 7.850
O 1.962 7.850 3.925
O 1.962 0.000 11.775
O 0.000 11.775 1.962
O -3.925 5.887 7.850
```

Output
**ΔE_f (raw)**: -1.37 eV/atom
**Size of the total moment**: 0.00 μB/cell

***

Compound: NdScRuO6
Source: Alexandria via LeMat-Bulk
Functional: PBE
Structure: optimized geometry

```
18
Lattice="5.312 0.000 0.000 -2.656 4.600 0.000 0.000 0.000 10.124" Properties=species:S:1:pos:R:3 pbc="T T T"
Nd 0.000 0.000 0.000
Nd 0.000 0.000 5.062
Sc 0.000 3.067 2.531
Sc 2.656 1.533 7.593
Ru 0.000 3.067 7.593
Ru 2.656 1.533 2.531
O -0.866 1.714 6.497
O -1.605 2.993 8.688
O 0.866 1.714 8.688
O -0.738 4.493 6.497
O 1.918 0.107 1.436
O 1.051 1.607 3.626
O 1.605 2.993 6.497
O 0.738 4.493 8.688
O 3.394 0.107 3.626
O 1.790 2.886 1.436
O 4.261 1.607 1.436
O 3.522 2.886 3.626
```

Output
**ΔE_f (raw)**: -2.25 eV/atom
**Size of the total moment**: 4.02 μB/cell

***

Compound: Nd2SmRuO8
Source: Alexandria via LeMat-Bulk
Functional: PBE
Structure: optimized geometry

```
12
Lattice="5.193 0.000 0.000 0.000 6.972 0.000 -0.012 0.000 5.197" Properties=species:S:1:pos:R:3 pbc="T T T"
Nd 0.000 1.732 0.000
Nd 0.000 5.240 0.000
Sm 2.591 3.486 2.598
Ru 2.591 0.000 2.598
O 1.002 3.486 0.995
O 1.273 0.000 1.264
O 1.655 1.436 3.522
O 1.655 5.536 3.522
O 3.526 1.436 1.675
O 3.526 5.536 1.675
O 3.908 0.000 3.933
O 4.179 3.486 4.202
```

Output
**ΔE_f (raw)**: -2.27 eV/atom
**Size of the total moment**: 1.04 μB/cell

***

no.,raw total energy (eV/atom),D(E_F) (states/eV per cell)
1,-7.067,17.10
2,-7.638,9.76
3,-8.026,6.39
4,-6.859,3.03
5,-7.928,0.41
6,-7.608,18.71
7,-6.548,15.19
8,-7.995,1.90
9,-8.069,3.61
10,-6.866,76.46
11,-7.817,9.70
12,-7.538,2.96